Entry 1:
## Pm2Pb (PBE-GGA)

Data for Pm2Pb after structural relaxation. Values from VASP.

Geometry as Quantum ESPRESSO input:
```
&SYSTEM
  ibrav = 0, nat = 3, ntyp = 2
/
ATOMIC_SPECIES
Pm 145.00 Pm.upf
Pb 207.20 Pb.upf
CELL_PARAMETERS angstrom
-3.520 3.699 1.499
-3.946 -1.279 3.336
0.036 1.838 4.995
ATOMIC_POSITIONS angstrom
Pm -5.573 3.194 7.372
Pm -1.858 1.064 2.458
Pb 0.000 0.000 0.000
```

Calculated values
E above lowest polymorph in eV per atom: 0.192
Energy relative to the elements in eV per atom: -0.26
Calculated total energy in hartree per atom: -0.171
Crystal system: cubic



Entry 2:
## Y3CrIn (PBE-GGA)

Data for Y3CrIn after structural relaxation. Values from VASP.

Geometry as Quantum ESPRESSO input:
```
&SYSTEM
  ibrav = 0, nat = 5, ntyp = 3
/
ATOMIC_SPECIES
Cr 52.00 Cr.upf
Y 88.91 Y.upf
In 114.82 In.upf
CELL_PARAMETERS angstrom
5.245 0.000 0.000
0.000 5.245 0.000
0.000 0.000 5.245
ATOMIC_POSITIONS angstrom
Cr 0.000 0.000 0.000
Y 0.000 0.000 2.623
Y 0.000 2.623 0.000
Y 2.623 0.000 0.000
In 2.623 2.623 2.623
```

Calculated values
E above lowest polymorph in eV per atom: 0.000
Energy relative to the elements in eV per atom: 0.28
Calculated total energy in hartree per atom: -0.223
Crystal system: cubic



Entry 3:
## NaLa2Al2 (PBE-GGA)

Data for NaLa2Al2 after structural relaxation. Values from VASP.

Geometry as Quantum ESPRESSO input:
```
&SYSTEM
  ibrav = 0, nat = 10, ntyp = 3
/
ATOMIC_SPECIES
Na 22.99 Na.upf
Al 26.98 Al.upf
La 138.91 La.upf
CELL_PARAMETERS angstrom
9.512 0.000 0.000
0.000 9.512 0.000
0.000 0.000 3.270
ATOMIC_POSITIONS angstrom
Na 4.756 4.756 0.000
Al 1.463 6.219 1.635
La 3.396 8.152 0.000
Al 8.049 3.293 1.635
La 8.152 6.116 0.000
Al 3.293 1.463 1.635
Na 0.000 0.000 0.000
Al 6.219 8.049 1.635
La 1.360 3.396 0.000
La 6.116 1.360 0.000
```

Calculated values
E above lowest polymorph in eV per atom: 0.112
Energy relative to the elements in eV per atom: -0.06
Calculated total energy in hartree per atom: -0.139
Crystal system: tetragonal



Entry 4:
## BaVH (PBE-GGA)

Data for BaVH after structural relaxation. Values from VASP.

Geometry as Quantum ESPRESSO input:
```
&SYSTEM
  ibrav = 0, nat = 3, ntyp = 3
/
ATOMIC_SPECIES
Ba 137.33 Ba.upf
H 1.01 H.upf
V 50.94 V.upf
CELL_PARAMETERS angstrom
-1.090 1.432 4.715
-4.689 1.449 1.177
-2.888 -2.930 2.923
ATOMIC_POSITIONS angstrom
Ba -6.500 -0.036 6.611
H -2.167 -0.012 2.204
V -4.334 -0.024 4.407
```

Calculated values
E above lowest polymorph in eV per atom: 1.231
Calculated total energy in hartree per atom: -0.125
Crystal system: cubic